[1]
This record from the Alexandria database describes a geometry-optimized V3MoPt structure. The functional is PBE.

Computed properties:
Total DFT energy (no corrections) ... -7.66 eV per atom
Energy relative to the lowest polymorph listed for this composition ... 0.000 kcal/mol of atoms

a b c (Å): 4.4566 4.4566 4.4566
angles (deg): 90.00 90.00 90.00
Closest atoms and distances in Å follow each position.
Fractional coordinates of all 5 atoms:
V (0.0000, 0.0000, 0.5000)  2 Mo 2.23
V (0.0000, 0.5000, 0.0000)  2 Mo 2.23
V (0.5000, 0.0000, 0.0000)  2 Mo 2.23
Mo (0.0000, 0.0000, 0.0000)  6 V 2.23
Pt (0.5000, 0.5000, 0.5000)  12 V 3.15



[2]
This record from the Alexandria database describes a geometry-optimized VMoPt2W structure. The functional is PBE.

Computed properties:
Total DFT energy (no corrections) ... -7.69 eV per atom

a b c (Å): 4.6149 4.6149 4.3362
angles (deg): 90.00 90.00 90.00
Closest atoms and distances in Å follow each position.
Fractional coordinates of all 5 atoms:
V (0.0000, 0.0000, 0.0000)  2 Mo 2.17, 4 Pt 2.31
Mo (0.0000, 0.0000, 0.5000)  2 V 2.17
Pt (0.0000, 0.5000, 0.0000)  2 V 2.31
Pt (0.5000, 0.0000, 0.0000)  2 V 2.31
W (0.5000, 0.5000, 0.5000)  8 Pt 3.17, 4 Mo 3.26



[3]
This record from the Alexandria database describes a geometry-optimized Mo2PtW structure. The functional is PBE.

Computed properties:
Total DFT energy (no corrections) ... -10.11 eV per atom

a b c (Å): 3.3065 3.3065 5.8345
angles (deg): 90.00 90.00 90.00
Closest atoms and distances in Å follow each position.
Fractional coordinates of all 4 atoms:
Mo (0.0000, 0.0000, 0.0000)  4 Mo 2.72, 4 W 2.76, 2 Pt 2.90-2.93
Mo (0.5000, 0.5000, 0.2381)  4 Mo 2.72, 4 Pt 2.80, 2 W 2.85-2.99
Pt (0.0000, 0.0000, 0.5023)  4 W 2.75, 6 Mo 2.80-2.93
W (0.5000, 0.5000, 0.7498)  4 Pt 2.75, 6 Mo 2.76-2.99



[4]
This record from the Alexandria database describes a geometry-optimized Mo2PtW structure. The functional is PBE.

Computed properties:
Total DFT energy (no corrections) ... -9.98 eV per atom

a b c (Å): 4.4917 4.4917 4.4917
angles (deg): 60.00 60.00 60.00
Closest atoms and distances in Å follow each position.
Fractional coordinates of all 4 atoms:
Mo (0.2500, 0.2500, 0.2500)  4 W 2.75, 4 Pt 2.75
Mo (0.7500, 0.7500, 0.7500)  4 Pt 2.75, 4 W 2.75
Pt (0.0000, 0.0000, 0.0000)  8 Mo 2.75
W (0.5000, 0.5000, 0.5000)  8 Mo 2.75



[5]
This record from the Alexandria database describes a geometry-optimized Mo3PtW structure. The functional is PBE.

Computed properties:
Total DFT energy (no corrections) ... -8.51 eV per atom
Energy relative to the lowest polymorph listed for this composition ... 0.000 kcal/mol of atoms

a b c (Å): 4.6849 4.6849 4.6849
angles (deg): 90.00 90.00 90.00
Closest atoms and distances in Å follow each position.
Fractional coordinates of all 5 atoms:
Mo (0.0000, 0.0000, 0.5000)  2 W 2.34
Mo (0.0000, 0.5000, 0.0000)  2 W 2.34
Mo (0.5000, 0.0000, 0.0000)  2 W 2.34
Pt (0.5000, 0.5000, 0.5000)  12 Mo 3.31
W (0.0000, 0.0000, 0.0000)  6 Mo 2.34



[6]
This record from the Alexandria database describes a geometry-optimized MoPtW2 structure. The functional is PBE.

Computed properties:
Total DFT energy (no corrections) ... -10.64 eV per atom
Energy relative to the lowest polymorph listed for this composition ... 2.384 kcal/mol of atoms

a b c (Å): 2.6913 4.1461 5.7258
angles (deg): 90.00 90.00 90.00
Closest atoms and distances in Å follow each position.
Fractional coordinates of all 4 atoms:
Mo (0.0000, 0.0000, 0.0000)  2 Mo 2.69, 6 W 2.83-2.89, 4 Pt 2.85
Pt (0.5000, 0.5000, 0.2478)  2 Pt 2.69, 6 W 2.85-2.87, 4 Mo 2.85
W (0.0000, 0.0000, 0.4948)  6 W 2.69-2.87, 2 Mo 2.83-2.89, 4 Pt 2.85
W (0.5000, 0.5000, 0.7487)  6 W 2.69-2.87, 2 Pt 2.86-2.87, 4 Mo 2.86